[1]
This record from the Open Quantum Materials Database describes a relaxed structure of Ho3Se2O. The functional is PBE.

Unit cell a=3.728 b=3.728 c=9.965 alpha=90.00 beta=90.00 gamma=120.00
Positions (direct):
Ho1 0.000 0.000 0.000
Ho2 0.333 0.667 0.375
Ho3 0.667 0.333 0.625
Se1 0.333 0.667 0.813
Se2 0.667 0.333 0.187
O1 0.000 0.000 0.500

- magnetic moment (μB per formula unit) = 0.0
- final energy (eV per atom) = -6.257

[2]
This record from the Open Quantum Materials Database describes a relaxed structure of Ho2SiSeO4. The functional is PBE.

Unit cell a=5.985 b=6.901 c=10.721 alpha=90.00 beta=90.00 gamma=90.00
Positions (direct):
Ho1 0.107 0.250 0.000
Ho2 0.107 0.250 0.500
Ho3 0.367 0.528 0.250
Ho4 0.367 0.972 0.750
Ho5 0.633 0.028 0.250
Ho6 0.633 0.472 0.750
Ho7 0.893 0.750 0.000
Ho8 0.893 0.750 0.500
Si1 0.387 0.750 0.000
Si2 0.387 0.750 0.500
Si3 0.613 0.250 0.000
Si4 0.613 0.250 0.500
Se1 0.077 0.625 0.750
Se2 0.077 0.875 0.250
Se3 0.923 0.125 0.750
Se4 0.923 0.375 0.250
O1 0.223 0.567 0.032
O2 0.223 0.567 0.468
O3 0.223 0.933 0.532
O4 0.223 0.933 0.968
O5 0.444 0.241 0.622
O6 0.444 0.241 0.878
O7 0.444 0.259 0.122
O8 0.444 0.259 0.378
O9 0.556 0.741 0.622
O10 0.556 0.741 0.878
O11 0.556 0.759 0.122
O12 0.556 0.759 0.378
O13 0.777 0.067 0.032
O14 0.777 0.067 0.468
O15 0.777 0.433 0.532
O16 0.777 0.433 0.968

- magnetic moment (μB per formula unit) = 0.0
- final energy (eV per atom) = -7.733

[3]
This record from the Open Quantum Materials Database describes a relaxed structure of TbHoSeO2. The functional is PBE.

Unit cell a=3.822 b=3.822 c=6.762 alpha=90.00 beta=90.00 gamma=120.00
Positions (direct):
Tb1 0.000 0.000 0.000
Ho1 0.667 0.333 0.420
Se1 0.333 0.667 0.708
O1 0.000 0.000 0.339
O2 0.667 0.333 0.086

- magnetic moment (μB per formula unit) = 0.0
- final energy (eV per atom) = -7.640

[4]
This record from the Open Quantum Materials Database describes a relaxed structure of HoTmSeO2. The functional is PBE.

Unit cell a=3.778 b=3.778 c=6.703 alpha=90.00 beta=90.00 gamma=120.00
Positions (direct):
Ho1 0.000 0.000 0.000
Tm1 0.333 0.667 0.581
Se1 0.667 0.333 0.292
O1 0.000 0.000 0.662
O2 0.333 0.667 0.915

- magnetic moment (μB per formula unit) = 0.0
- final energy (eV per atom) = -7.626